Entry from OQMD via LeMat-Bulk: crystalline GePtPb2O6 at its relaxed geometry (PBE).

Output
The distance to the lowest polymorph of the same formula is 56 meV/atom. For the total energy, the calculation gives -0.208 Ha/atom.

abc: 5.5875 5.5875 5.5875
angles: 120.13 120.13 89.78
Element x y z (fractional)
1 Ge 0.0000 0.0000 0.0000
2 Pt 0.5000 0.5000 0.0000
3 Pb 0.2500 0.7500 0.5000
4 Pb 0.7500 0.2500 0.5000
5 O 0.2424 0.2424 0.0000
6 O 0.2424 0.2424 0.4848
7 O 0.2424 0.7576 0.0000
8 O 0.7576 0.2424 0.0000
9 O 0.7576 0.7576 0.0000
10 O 0.7576 0.7576 0.5152